The following is a PBE calculation of a relaxed structure of HfTi2N, from the Alexandria database.

Energy relative to the elements, uncorrected: -294 meV per atom
Electronic total energy: -8.811 eV per atom

The structure in CIF format:
```
data_HfTi2N
_chemical_formula_sum 'Hf1 Ti2 N1'
_space_group_name_H-M_alt 'P 1'
_space_group_IT_number 1
_space_group_name_Hall 'P 1'
_cell_length_a 2.840
_cell_length_b 2.840
_cell_length_c 7.081
_cell_angle_alpha 90.00
_cell_angle_beta 90.00
_cell_angle_gamma 90.00
loop_
_atom_site_label
_atom_site_type_symbol
_atom_site_fract_x
_atom_site_fract_y
_atom_site_fract_z
_atom_site_occupancy
Hf1 Hf 0.500 0.500 0.500 1
Ti1 Ti 0.000 0.000 0.172 1
Ti2 Ti 0.000 0.000 0.828 1
N1 N 0.500 0.500 0.000 1
```